Entry from Alexandria: a geometry-optimized HIr3Pb structure (PBE-GGA).

- symmetry = No. 221
- D(E_F) (states/eV/f.u.) = 1.3
- E above lowest polymorph (eV per atom) = 0.0000
- E (eV/cell) = -31.9

Cell: 4.093 4.093 4.093 Å, 90.00 90.00 90.00°
Atoms (fractional coordinates):
H1 0.000 0.000 0.000
Ir1 0.000 0.000 0.500
Ir2 0.000 0.500 0.000
Ir3 0.500 0.000 0.000
Pb1 0.500 0.500 0.500

---

Entry from Alexandria: a geometry-optimized H2IrPb structure (PBE-GGA).

- symmetry = No. 122
- D(E_F) (states/eV/f.u.) = 1.6
- E above lowest polymorph (eV per atom) = 0.0000
- E (eV/cell) = -36.3

Cell: 6.220 6.220 6.220 Å, 138.12 138.12 60.72°
Atoms (fractional coordinates):
H1 0.375 0.129 0.254
H2 0.871 0.125 0.246
H3 0.875 0.121 0.746
H4 0.879 0.625 0.754
Ir1 0.000 0.000 0.000
Ir2 0.750 0.250 0.500
Pb1 0.250 0.750 0.500
Pb2 0.500 0.500 0.000

---

Entry from Alexandria: a geometry-optimized H5IrPb2 structure (PBE-GGA).

- symmetry = No. 44
- D(E_F) (states/eV/f.u.) = 0.9
- E (eV/cell) = -32.4

Cell: 5.407 5.407 5.407 Å, 122.11 121.82 86.62°
Atoms (fractional coordinates):
H1 0.000 0.000 0.000
H2 0.540 0.538 0.546
H3 0.540 0.994 0.002
H4 0.993 0.538 0.998
H5 0.993 0.994 0.454
Ir1 0.786 0.786 0.000
Pb1 0.010 0.510 0.500
Pb2 0.510 0.010 0.500

---

Entry from Alexandria: a geometry-optimized HIrPb3 structure (PBE-GGA).

- symmetry = No. 221
- D(E_F) (states/eV/f.u.) = 3.3
- E above lowest polymorph (eV per atom) = 0.0000
- E (eV/cell) = -20.3

Cell: 4.716 4.716 4.716 Å, 90.00 90.00 90.00°
Atoms (fractional coordinates):
H1 0.000 0.000 0.000
Ir1 0.500 0.500 0.500
Pb1 0.000 0.000 0.500
Pb2 0.000 0.500 0.000
Pb3 0.500 0.000 0.000